A PBEsol-optimized structure of MgGe3W, computed with meta-GGA SCAN.

Properties
E_form	1.71	eV per atom
final energy	-123.36	eV per formula unit

abc: 4.7728 4.7728 4.7728
angles: 90.00 90.00 90.00
Site moments in Bohr magnetons follow the coordinates.
Element x y z (fractional)
Ge  0.0000  0.5000  0.0000  0.00
Ge  0.0000  0.0000  0.5000  0.00
Ge  0.5000  0.0000  0.0000  0.00
Mg  0.0000  0.0000  0.0000  0.01
W  0.5000  0.5000  0.5000  2.82

***

A PBEsol-optimized structure of Y2MgGe2, computed with meta-GGA SCAN.

Properties
E_form	-0.89	eV per atom
final energy	-103.26	eV per formula unit

abc: 4.1872 7.2049 7.2049
angles: 90.00 90.00 90.00
Element x y z (fractional)
Y  0.5000  0.1773  0.6773
Y  0.5000  0.6773  0.8227
Y  0.5000  0.8227  0.3227
Y  0.5000  0.3227  0.1773
Ge  0.0000  0.3768  0.8768
Ge  0.0000  0.8768  0.6232
Ge  0.0000  0.6232  0.1232
Ge  0.0000  0.1232  0.3768
Mg  0.0000  0.0000  0.0000
Mg  0.0000  0.5000  0.5000

***

A PBEsol-optimized structure of MgZnGe3, computed with meta-GGA SCAN.

Properties
E_form	0.54	eV per atom
final energy	-73.07	eV per formula unit

abc: 4.8089 4.8089 4.8089
angles: 90.00 90.00 90.00
Element x y z (fractional)
Mg  0.5000  0.5000  0.5000
Ge  0.0000  0.5000  0.0000
Ge  0.0000  0.0000  0.5000
Ge  0.5000  0.0000  0.0000
Zn  0.0000  0.0000  0.0000

***

A PBEsol-optimized structure of MgZrGe3, computed with meta-GGA SCAN.

Properties
E_form	0.72	eV per atom
final energy	-89.33	eV per formula unit

abc: 4.7805 4.7805 4.7805
angles: 90.00 90.00 90.00
Element x y z (fractional)
Ge  0.0000  0.5000  0.0000
Ge  0.0000  0.0000  0.5000
Ge  0.5000  0.0000  0.0000
Mg  0.0000  0.0000  0.0000
Zr  0.5000  0.5000  0.5000

***

A PBEsol-optimized structure of Mn3Ge, computed with meta-GGA SCAN.

Properties
E_form	-0.13	eV per atom
final energy	-74.37	eV per formula unit

abc: 4.0938 5.0745 5.0745
angles: 120.00 90.00 90.00
Site moments in Bohr magnetons follow the coordinates.
Element x y z (fractional)
Mn  0.2500  0.8389  0.1611  1.76
Mn  0.2500  0.3221  0.1611  1.76
Mn  0.2500  0.8389  0.6779  1.76
Mn  0.7500  0.1611  0.8389  1.76
Mn  0.7500  0.6779  0.8389  1.76
Mn  0.7500  0.1611  0.3221  1.76
Ge  0.2500  0.3333  0.6667  -0.10
Ge  0.7500  0.6667  0.3333  -0.10

***

A PBEsol-optimized structure of Mn3Ge, computed with meta-GGA SCAN.

Properties
E_form	-0.16	eV per atom
final energy	-74.50	eV per formula unit

abc: 3.5866 3.5866 3.5866
angles: 90.00 90.00 90.00
Site moments in Bohr magnetons follow the coordinates.
Element x y z (fractional)
Ge  0.0000  0.0000  0.0000  -0.09
Mn  0.0000  0.5000  0.5000  2.28
Mn  0.5000  0.5000  0.0000  2.28
Mn  0.5000  0.0000  0.5000  2.28

***

A PBEsol-optimized structure of Mn2Ge, computed with meta-GGA SCAN.

Properties
E_form	-0.19	eV per atom
final energy	-56.16	eV per formula unit

abc: 4.1035 4.1035 4.9702
angles: 90.00 90.00 120.00
Site moments in Bohr magnetons follow the coordinates.
Element x y z (fractional)
Mn  0.0000  0.0000  0.5000  2.10
Mn  0.0000  0.0000  0.0000  2.10
Mn  0.3333  0.6667  0.7500  2.84
Mn  0.6667  0.3333  0.2500  2.84
Ge  0.3333  0.6667  0.2500  -0.10
Ge  0.6667  0.3333  0.7500  -0.10

***

A PBEsol-optimized structure of Mn3Ge, computed with meta-GGA SCAN.

Properties
E_form	0.15	eV per atom
final energy	-73.24	eV per formula unit

abc: 2.5896 2.5896 7.9670
angles: 80.65 80.65 60.00
Site moments in Bohr magnetons follow the coordinates.
Element x y z (fractional)
Mn  0.2466  0.2466  0.2601  2.20
Mn  0.5000  0.5000  0.5000  -2.81
Mn  0.7534  0.7534  0.7399  2.20
Ge  0.0000  0.0000  0.0000  -0.03

***

A PBEsol-optimized structure of Mn3Ge, computed with meta-GGA SCAN.

Properties
E_form	-0.14	eV per atom
final energy	-74.41	eV per formula unit

abc: 4.0035 4.0035 4.0035
angles: 60.00 60.00 60.00
Site moments in Bohr magnetons follow the coordinates.
Element x y z (fractional)
Ge  0.0000  0.0000  0.0000  -0.02
Mn  0.2500  0.2500  0.2500  0.64
Mn  0.7500  0.7500  0.7500  0.64
Mn  0.5000  0.5000  0.5000  1.69

***

A PBEsol-optimized structure of Mn3Ge5, computed with meta-GGA SCAN.

Properties
E_form	-0.08	eV per atom
final energy	-150.87	eV per formula unit

abc: 5.6066 5.6066 13.5853
angles: 90.00 90.00 90.00
Site moments in Bohr magnetons follow the coordinates.
Element x y z (fractional)
Mn  0.5000  0.0000  0.7500  1.23
Mn  0.0000  0.5000  0.2500  1.23
Mn  0.0000  0.0000  0.0000  0.90
Mn  0.5000  0.5000  0.5000  0.90
Mn  0.5000  0.0000  0.0869  -1.79
Mn  0.0000  0.5000  0.9131  -1.79
Mn  0.0000  0.5000  0.5869  -1.79
Mn  0.5000  0.0000  0.4131  -1.79
Mn  0.0000  0.0000  0.3270  1.97
Mn  0.0000  0.0000  0.6730  1.97
Mn  0.5000  0.5000  0.8270  1.97
Mn  0.5000  0.5000  0.1730  1.97
Ge  0.6710  0.1710  0.2500  -0.03
Ge  0.8290  0.6710  0.7500  -0.03
Ge  0.3290  0.8290  0.2500  -0.03
Ge  0.1710  0.3290  0.7500  -0.03
Ge  0.1597  0.1949  0.1512  -0.05
Ge  0.8051  0.1597  0.8488  -0.05
Ge  0.8403  0.8051  0.1512  -0.05
Ge  0.1949  0.8403  0.8488  -0.05
Ge  0.3403  0.6949  0.6512  -0.05
Ge  0.6949  0.6597  0.3488  -0.05
Ge  0.6597  0.3051  0.6512  -0.05
Ge  0.3051  0.3403  0.3488  -0.05
Ge  0.3448  0.2319  0.9489  -0.02
Ge  0.7681  0.3448  0.0511  -0.02
Ge  0.6552  0.7681  0.9489  -0.02
Ge  0.2319  0.6552  0.0511  -0.02
Ge  0.1552  0.7319  0.4489  -0.02
Ge  0.7319  0.8448  0.5511  -0.02
Ge  0.8448  0.2681  0.4489  -0.02
Ge  0.2681  0.1552  0.5511  -0.02

***

A PBEsol-optimized structure of MnGe2, computed with meta-GGA SCAN.

Properties
E_form	-0.07	eV per atom
final energy	-56.65	eV per formula unit

abc: 4.9348 4.8146 4.8146
angles: 74.77 59.17 59.17
Site moments in Bohr magnetons follow the coordinates.
Element x y z (fractional)
Mn  0.2500  0.0000  0.0000  2.20
Mn  0.7500  0.0000  0.0000  2.20
Ge  0.8432  0.8137  0.5000  -0.10
Ge  0.3432  0.5000  0.8137  -0.10
Ge  0.6568  0.5000  0.1863  -0.10
Ge  0.1568  0.1863  0.5000  -0.10

***

A PBEsol-optimized structure of MnGeN3, computed with meta-GGA SCAN.

Properties
energy relative to the elements, uncorrected	953.7	meV/atom
final energy	-60.45	eV per formula unit

abc: 3.6882 3.6882 3.6882
angles: 90.00 90.00 90.00
Site moments in Bohr magnetons follow the coordinates.
Element x y z (fractional)
Ge  0.5000  0.5000  0.5000  0.09
Mn  0.0000  0.0000  0.0000  2.21
N  0.0000  0.5000  0.0000  -0.65
N  0.0000  0.0000  0.5000  -0.65
N  0.5000  0.0000  0.0000  -0.65